Entry 1:
Compound: BaZnNiRu2
Source: Alexandria
Functional: PBE
Structure: relaxed

Computed properties:
Energy = -4.0573 eV per atom
Calculated formation energy = 1.449 eV per atom
DOS(E_F) = 1.605 states/eV/atom

Cell: 4.6643 4.6643 5.6918 Å, 90.00 90.00 90.00°
Sites, in units of the cell vectors:
1 Ba 0.0000 0.0000 0.0000
2 Zn 0.0000 0.0000 0.5000
3 Ni 0.5000 0.5000 0.0000
4 Ru 0.0000 0.5000 0.5000
5 Ru 0.5000 0.0000 0.5000



Entry 2:
Compound: BaNi3S
Source: Alexandria
Functional: PBE
Structure: relaxed

Computed properties:
Energy = -4.8048 eV per atom
DOS(E_F) = 0.187 states/eV/atom

Cell: 4.4337 4.4337 4.4337 Å, 90.00 90.00 90.00°
Sites, in units of the cell vectors:
1 Ba 0.0000 0.0000 0.0000
2 Ni 0.0000 0.5000 0.5000
3 Ni 0.5000 0.0000 0.5000
4 Ni 0.5000 0.5000 0.0000
5 S 0.5000 0.5000 0.5000